The following is a PBE-GGA calculation of an optimized crystal structure of Cd3C, from the Alexandria database.

```
4
Lattice="1.795 1.036 7.118 -1.795 1.036 7.118 0.000 -2.072 7.118" Properties=species:S:1:pos:R:3 pbc="T T T"
Cd 0.000 0.000 0.000
Cd 0.000 0.000 4.770
Cd 0.000 0.000 16.585
C 0.000 0.000 10.678
```

The space-group type is R-3m (166).

---

The following is a PBE-GGA calculation of an optimized crystal structure of Cd3C, from the Alexandria database.

```
4
Lattice="-1.517 1.953 6.368 1.517 -1.953 6.368 1.517 1.953 -6.368" Properties=species:S:1:pos:R:3 pbc="T T T"
Cd 0.000 0.000 0.000
Cd 1.517 0.000 4.085
Cd 0.000 1.953 2.282
C 0.000 0.000 6.368
```

The space-group type is Immm (71).

---

| no. | volume (Å³/atom) | total DFT energy (no corrections) (eV/atom) |
| --- | --- | --- |
| 1 | 19.857 | -2.041 |
| 2 | 18.876 | -2.012 |